1.
Here is LiCuPd after structural relaxation from Alexandria via LeMat-Bulk. Energies are from PBE-GGA.

Summary:
Crystal system   tetragonal
Relative energy among the computed polymorphs   45 meV per atom

Lattice parameters (Å, degrees): 3.0491 3.0491 8.5601 90.00 90.00 90.00
Last column: nearest neighbours and their distance in Å.
Space group I4mm (No. 107)
Unique sites:
Li 0.0000 0.0000 0.0000 x2  4 Cu 2.55, 5 Pd 2.59-2.85
Cu 0.0000 0.0000 0.6594 x2  4 Li 2.55, 5 Pd 2.62-2.80
Pd 0.0000 0.0000 0.3327 x2  5 Li 2.59-2.85, 5 Cu 2.62-2.80

2.
Here is Nb2GaPbO8 after structural relaxation from Alexandria via LeMat-Bulk. Energies are from PBE-GGA.

Summary:
Crystal system   trigonal
Formation energy (no corrections)   -23.0 eV/f.u.

Lattice parameters (Å, degrees): 5.9423 5.9423 6.2305 90.00 90.00 120.00
Last column: nearest neighbours and their distance in Å.
Space group P-3m1 (No. 164)
Unique sites:
Nb 0.3333 0.6667 0.2735 x2  4 O 1.78-1.92
Ga 0.0000 0.0000 0.0000 x1  6 O 2.00
Pb 0.0000 0.0000 0.5000 x1  6 O 2.45
O 0.1525 0.3050 0.1977 x6  1 Nb 1.92, 1 Ga 2.00
O 0.3333 0.6667 0.5587 x2  1 Nb 1.78

3.
Here is Mg5TlPb8 after structural relaxation from Alexandria via LeMat-Bulk. Energies are from PBE-GGA.

Summary:
Crystal system   tetragonal

Lattice parameters (Å, degrees): 9.6392 9.6392 8.9053 90.00 90.00 90.00
Last column: nearest neighbours and their distance in Å.
Space group I-4 (No. 82)
Unique sites:
Mg 0.0000 0.0000 0.0000 x2  8 Pb 3.14-3.41
Mg 0.1195 0.8370 0.6049 x8  5 Pb 3.12-3.24, 2 Mg 3.33
Tl 0.0000 0.5000 0.2500 x2  8 Pb 3.32-3.47
Pb 0.0602 0.6620 0.9083 x8  3 Mg 3.24-3.55, 4 Pb 3.27-3.50, 1 Tl 3.47
Pb 0.1321 0.8179 0.2544 x8  5 Mg 3.12-3.18, 2 Pb 3.27-3.39, 1 Tl 3.32

4.
Here is AcTb5SmY2 after structural relaxation from Alexandria via LeMat-Bulk. Energies are from PBE-GGA.

Summary:
Crystal system   orthorhombic

Lattice parameters (Å, degrees): 5.5651 24.0362 9.3459 90.00 90.00 90.00
Last column: nearest neighbours and their distance in Å.
Space group Cmc2_1 (No. 36)
Unique sites:
Ac 0.0000 0.1022 0.0000 x4  5 Tb 3.42-3.76
Tb 0.0000 0.0234 0.3163 x4  3 Tb 3.24-3.58, 2 Ac 3.47-3.51, 2 Y 3.53
Tb 0.0000 0.1022 0.5973 x4  4 Tb 3.24-3.60, 2 Y 3.50
Tb 0.0000 0.1921 0.2982 x4  3 Sm 3.33-3.49, 3 Y 3.39-3.41, 4 Tb 3.46-3.57, 1 Ac 3.53
Tb 0.0000 0.2424 0.9386 x4  3 Sm 3.09-3.21, 1 Ac 3.42, 2 Tb 3.46
Tb 0.0000 0.4926 0.0894 x4  2 Y 3.39-3.76, 4 Tb 3.58-3.60
Sm 0.0000 0.2590 0.6102 x4  4 Tb 3.09-3.33
Y 0.0000 0.3317 0.2488 x4  6 Tb 3.39-3.75, 2 Sm 3.76
Y 0.0000 0.3874 0.8481 x4  9 Tb 3.39-3.76

no.,E_tot (eV/cell),size of the total moment (μB/atom)
1,-23.72,0.000
2,-89.51,0.000
3,-79.66,0.000
4,-174.33,0.000